[1]
DFT (PBE-GGA) results for a geometry-optimized BC2 structure.

Calculated values
Volume   6.4 Å³ per atom
Density of states at the Fermi level   0.220 states/eV/atom
Energy above the lowest structure with this stoichiometry   106 meV per atom
Uncorrected energy   -24.1 eV per formula unit
M_tot   0.000 μB/atom
E_form   346 meV per atom

Unit cell a=3.956 b=2.588 c=7.442 alpha=90.00 beta=90.25 gamma=90.00
Space group P2/m (No. 10)
Asymmetric unit:
B  0.149  0.000  0.252 [2 per cell]
B  0.165  0.000  0.568 [2 per cell]
C  0.137  0.000  0.921 [2 per cell]
C  0.368  0.500  0.918 [2 per cell]
C  0.394  0.500  0.585 [2 per cell]
C  0.405  0.500  0.248 [2 per cell]

=====

[2]
DFT (PBE-GGA) results for a geometry-optimized IrI2O2 structure.

Calculated values
Volume   22.2 Å³ per atom
Density of states at the Fermi level   1.543 states/eV/atom
Energy above the lowest structure with this stoichiometry   272 meV per atom
Raw formation energy   554 meV per atom
Uncorrected energy   -19.1 eV per formula unit
M_tot   0.000 μB/atom

Unit cell a=5.476 b=5.476 c=3.698 alpha=90.00 beta=90.00 gamma=90.00
Space group P4/mmm (No. 123)
Asymmetric unit:
Ir  0.000  0.000  0.000 [1 per cell]
I  0.000  0.500  0.000 [2 per cell]
O  0.000  0.000  0.500 [1 per cell]
O  0.500  0.500  0.500 [1 per cell]

=====

[3]
DFT (PBE-GGA) results for a geometry-optimized La2ScAlSi structure.

Calculated values
Volume   30.7 Å³ per atom
Density of states at the Fermi level   1.295 states/eV/atom
Raw formation energy   523 meV per atom
Uncorrected energy   -22.7 eV per formula unit
M_tot   0.000 μB/atom

Unit cell a=5.515 b=5.515 c=5.044 alpha=90.00 beta=90.00 gamma=90.00
Space group P4/mmm (No. 123)
Asymmetric unit:
La  0.000  0.500  0.000 [2 per cell]
Sc  0.000  0.000  0.000 [1 per cell]
Al  0.500  0.500  0.500 [1 per cell]
Si  0.000  0.000  0.500 [1 per cell]

=====

[4]
DFT (PBE-GGA) results for a geometry-optimized Mn4RuBr structure.

Calculated values
Volume   13.7 Å³ per atom
Density of states at the Fermi level   1.517 states/eV/atom
Raw formation energy   815 meV per atom
Uncorrected energy   -42.7 eV per formula unit
M_tot   1.411 μB/atom

Unit cell a=6.910 b=6.910 c=6.910 alpha=90.00 beta=90.00 gamma=90.00
Space group F-43m (No. 216)
Asymmetric unit:
Mn  0.124  0.124  0.124 [16 per cell]
Ru  0.250  0.250  0.750 [4 per cell]
Br  0.000  0.000  0.500 [4 per cell]

=====

[5]
DFT (PBE-GGA) results for a geometry-optimized Co2Ni5Pt structure.

Calculated values
Volume   11.7 Å³ per atom
Density of states at the Fermi level   1.380 states/eV/atom
Energy above the lowest structure with this stoichiometry   54 meV per atom
Uncorrected energy   -48.9 eV per formula unit
M_tot   0.873 μB/atom
E_form   28 meV per atom

Unit cell a=2.546 b=7.768 c=9.454 alpha=90.00 beta=90.00 gamma=90.00
Space group Immm (No. 71)
Asymmetric unit:
Co  0.000  0.000  0.246 [4 per cell]
Ni  0.000  0.000  0.500 [2 per cell]
Ni  0.000  0.274  0.132 [8 per cell]
Pt  0.000  0.500  0.500 [2 per cell]

=====

[6]
DFT (PBE-GGA) results for a geometry-optimized NdSm5Sb3 structure.

Calculated values
Volume   31.1 Å³ per atom
Density of states at the Fermi level   1.259 states/eV/atom
Raw formation energy   -423 meV per atom
Uncorrected energy   -44.5 eV per formula unit
M_tot   0.000 μB/atom

Unit cell a=7.726 b=7.726 c=18.755 alpha=90.00 beta=90.00 gamma=90.00
Space group I4/mcm (No. 140)
Asymmetric unit:
Nd  0.000  0.500  0.250 [4 per cell]
Sm  0.000  0.000  0.000 [4 per cell]
Sm  0.185  0.315  0.123 [16 per cell]
Sb  0.000  0.000  0.250 [4 per cell]
Sb  0.133  0.367  0.500 [8 per cell]

=====

[7]
DFT (PBE-GGA) results for a geometry-optimized ReMoSe2 structure.

Calculated values
Volume   20.4 Å³ per atom
Density of states at the Fermi level   0.522 states/eV/atom
Energy above the lowest structure with this stoichiometry   225 meV per atom
Raw formation energy   148 meV per atom
Uncorrected energy   -29.7 eV per formula unit
M_tot   0.000 μB/atom

Unit cell a=3.022 b=3.942 c=6.859 alpha=90.00 beta=90.00 gamma=90.00
Space group Pmm2 (No. 25)
Asymmetric unit:
Re  0.000  0.000  0.000 [1 per cell]
Mo  0.500  0.500  0.826 [1 per cell]
Se  0.000  0.000  0.647 [1 per cell]
Se  0.500  0.500  0.180 [1 per cell]

=====

[8]
DFT (PBE-GGA) results for a geometry-optimized Ca5TiSn4B10O30 structure.

Calculated values
Volume   11.3 Å³ per atom
Density of states at the Fermi level   0.000 states/eV/atom
Raw formation energy   -2495 meV per atom
Uncorrected energy   -374.2 eV per formula unit
M_tot   0.000 μB/atom

Unit cell a=4.905 b=6.111 c=19.131 alpha=97.11 beta=97.35 gamma=90.03
Space group P-1 (No. 2)
Asymmetric unit:
Ca  0.000  0.000  0.000 [1 per cell]
Ca  0.202  0.802  0.400 [2 per cell]
Ca  0.403  0.602  0.804 [2 per cell]
Ti  0.500  0.500  0.000 [1 per cell]
Sn  0.104  0.901  0.199 [2 per cell]
Sn  0.301  0.699  0.601 [2 per cell]
B  0.043  0.476  0.093 [2 per cell]
B  0.150  0.329  0.303 [2 per cell]
B  0.247  0.274  0.495 [2 per cell]
B  0.349  0.127  0.705 [2 per cell]
B  0.447  0.077  0.898 [2 per cell]
O  0.034  0.415  0.845 [2 per cell]
O  0.059  0.162  0.443 [2 per cell]
O  0.069  0.142  0.709 [2 per cell]
O  0.130  0.655  0.693 [2 per cell]
O  0.158  0.632  0.956 [2 per cell]
O  0.159  0.384  0.556 [2 per cell]
O  0.243  0.217  0.243 [2 per cell]
O  0.256  0.963  0.846 [2 per cell]
O  0.275  0.948  0.108 [2 per cell]
O  0.319  0.458  0.084 [2 per cell]
O  0.336  0.441  0.356 [2 per cell]
O  0.366  0.199  0.957 [2 per cell]
O  0.442  0.015  0.645 [2 per cell]
O  0.466  0.761  0.242 [2 per cell]
O  0.474  0.744  0.509 [2 per cell]

=====

[9]
DFT (PBE-GGA) results for a geometry-optimized In2HgBi2 structure.

Calculated values
Volume   31.3 Å³ per atom
Density of states at the Fermi level   0.415 states/eV/atom
Energy above the lowest structure with this stoichiometry   33 meV per atom
Uncorrected energy   -13.2 eV per formula unit
M_tot   0.000 μB/atom
E_form   71 meV per atom

Unit cell a=9.381 b=9.381 c=3.560 alpha=90.00 beta=90.00 gamma=90.00
Space group P4/mbm (No. 127)
Asymmetric unit:
In  0.143  0.357  0.000 [4 per cell]
Hg  0.000  0.000  0.500 [2 per cell]
Bi  0.154  0.654  0.500 [4 per cell]

=====

[10]
DFT (PBE-GGA) results for a geometry-optimized BaFe2Ru structure.

Calculated values
Volume   18.3 Å³ per atom
Density of states at the Fermi level   0.779 states/eV/atom
Uncorrected energy   -24.0 eV per formula unit
M_tot   1.504 μB/atom
E_form   1039 meV per atom

Unit cell a=6.636 b=6.636 c=6.636 alpha=90.00 beta=90.00 gamma=90.00
Space group Fm-3m (No. 225)
Asymmetric unit:
Ba  0.000  0.000  0.000 [4 per cell]
Fe  0.250  0.250  0.250 [8 per cell]
Ru  0.000  0.000  0.500 [4 per cell]

=====

[11]
DFT (PBE-GGA) results for a geometry-optimized Cr2ReNi structure.

Calculated values
Volume   12.7 Å³ per atom
Density of states at the Fermi level   1.693 states/eV/atom
Uncorrected energy   -36.4 eV per formula unit
M_tot   0.000 μB/atom
E_form   268 meV per atom

Unit cell a=2.6164 b=2.6164 c=25.6801 alpha=90.00 beta=90.00 gamma=120.00
Space group R-3m (No. 166, hexagonal axes)
Asymmetric unit:
Cr  0.0000  0.0000  0.2463 [6 per cell]
Re  0.0000  0.0000  0.0000 [3 per cell]
Ni  0.0000  0.0000  0.5000 [3 per cell]

=====

[12]
DFT (PBE-GGA) results for a geometry-optimized LiBi4Ir2 structure.

Calculated values
Volume   24.6 Å³ per atom
Density of states at the Fermi level   0.571 states/eV/atom
Uncorrected energy   -35.5 eV per formula unit
M_tot   0.000 μB/atom
E_form   -53 meV per atom

Unit cell a=4.4089 b=4.4089 c=30.6902 alpha=90.00 beta=90.00 gamma=120.00
Space group R-3m (No. 166, hexagonal axes)
Asymmetric unit:
Li  0.0000  0.0000  0.0000 [3 per cell]
Bi  0.0000  0.0000  0.2053 [6 per cell]
Bi  0.0000  0.0000  0.3835 [6 per cell]
Ir  0.0000  0.0000  0.0927 [6 per cell]

=====

Number 11 is which compound? Cr2ReNi

=====

Look up the density of states at the Fermi level of the fifth one. 1.380 states/eV/atom